Density functional theory data (PBE) for a relaxed LiFeNiC crystal. Values from VASP.

Computed properties:
**VASP energy**: -5.76 eV/atom
**DFT formation energy**: 0.5829 eV per atom
**V**: 8.2 Å³/atom

Geometry as Quantum ESPRESSO input:
```
&SYSTEM
  ibrav = 0, nat = 4, ntyp = 4
/
ATOMIC_SPECIES
Li 6.94 Li.upf
Fe 55.84 Fe.upf
Ni 58.69 Ni.upf
C 12.01 C.upf
ATOMIC_POSITIONS angstrom
Li 0.0000 0.0000 0.0000
Fe 3.8094 3.8094 3.8094
Ni 1.2698 1.2698 1.2698
C 2.5396 2.5396 2.5396
CELL_PARAMETERS angstrom
0.0000 2.5396 2.5396
2.5396 0.0000 2.5396
2.5396 2.5396 0.0000
```